No. 1
Density functional theory data (SCAN) for a crystal of TaAsCF2 relaxed with PBEsol.

abc: 3.7308 3.7308 5.2277
angles: 90.00 90.00 90.00
Last column: nearest neighbours and their distance in Å.
Space group P4/mmm (No. 123)
Symmetry-distinct sites (fractional):
Ta1 0.0000 0.0000 0.0000 x1  4 C 2.64
As1 0.5000 0.5000 0.5000 x1  4 F 1.87
C1 0.5000 0.5000 0.0000 x1  2 As 2.61, 4 Ta 2.64
F1 0.0000 0.5000 0.5000 x2  2 As 1.87

The magnetization is 1.9 μB per cell. Its formation energy from raw total energies is 2.7 eV/f.u.

=====

No. 2
Density functional theory data (SCAN) for a crystal of MnFeAs2C relaxed with PBEsol.

abc: 4.3274 4.3274 3.6123
angles: 90.00 90.00 90.00
Last column: nearest neighbours and their distance in Å.
Space group P4/mmm (No. 123)
Symmetry-distinct sites (fractional):
Mn1 0.0000 0.0000 0.0000 x1  2 C 1.81
Fe1 0.5000 0.5000 0.0000 x1  8 As 2.82, 4 Mn 3.06
As1 0.0000 0.5000 0.5000 x2  2 C 2.16
C1 0.0000 0.0000 0.5000 x1  2 Mn 1.81

For the formation energy, the calculation gives 0.78 eV/atom. The magnetization is 5.4 μB per cell.

=====

No. 3
Density functional theory data (SCAN) for a crystal of GaAs2C relaxed with PBEsol.

abc: 6.1989 6.1989 6.1989
angles: 90.00 90.00 90.00
Last column: nearest neighbours and their distance in Å.
Space group Fm-3m (No. 225)
Symmetry-distinct sites (fractional):
Ga1 0.0000 0.0000 0.0000 x4  8 As 2.68
As1 0.2500 0.2500 0.2500 x8  4 C 2.68, 4 Ga 2.68
C1 0.0000 0.0000 0.5000 x4  8 As 2.68

For the formation energy, the calculation gives 1.50 eV/atom. The magnetization is 0.0 μB per cell.